First-principles (PBE) data for a relaxed structure of Pr5In4I, as listed in the Alexandria database.

POSCAR file:
```
Pr5In4I
1.0
3.7250 0.0000 0.0000
0.0000 3.7250 0.0000
0.0000 0.0000 21.7936
Pr In I
5 4 1
Direct
0.0000 0.0000 0.0000
0.0000 0.0000 0.1963
0.0000 0.0000 0.3899
0.0000 0.0000 0.6101
0.0000 0.0000 0.8037
0.5000 0.5000 0.0986
0.5000 0.5000 0.2976
0.5000 0.5000 0.7024
0.5000 0.5000 0.9014
0.5000 0.5000 0.5000
```

E_form (uncorrected) = -5.6 eV per formula unit

=====

First-principles (PBE) data for a relaxed structure of Pr7InI12, as listed in the Alexandria database.

POSCAR file:
```
Pr7InI12
1.0
8.2171 4.7442 3.5966
-8.2171 4.7442 3.5966
0.0000 -9.4883 3.5966
Pr In I
7 1 12
Direct
0.0000 0.0000 0.0000
0.1668 0.4573 0.3866
0.3866 0.1668 0.4573
0.4573 0.3866 0.1668
0.5427 0.6134 0.8332
0.6134 0.8332 0.5427
0.8332 0.5427 0.6134
0.5000 0.5000 0.5000
0.0256 0.1048 0.3440
0.1048 0.3440 0.0256
0.1925 0.5783 0.7319
0.2681 0.8075 0.4217
0.3440 0.0256 0.1048
0.4217 0.2681 0.8075
0.5783 0.7319 0.1925
0.6560 0.9744 0.8952
0.7319 0.1925 0.5783
0.8075 0.4217 0.2681
0.8952 0.6560 0.9744
0.9744 0.8952 0.6560
```

E_form (uncorrected) = -24.6 eV per formula unit

=====

First-principles (PBE) data for a relaxed structure of Pr4InI5, as listed in the Alexandria database.

POSCAR file:
```
Pr4InI5
1.0
9.9192 -2.2205 0.0000
9.9192 2.2205 0.0000
-1.9074 0.0000 9.1064
Pr In I
4 1 5
Direct
0.0013 0.0013 0.2321
0.3431 0.3431 0.9275
0.6569 0.6569 0.0725
0.9987 0.9987 0.7679
0.5000 0.5000 0.0000
0.1682 0.1682 0.3297
0.1702 0.1702 0.8214
0.5000 0.5000 0.5000
0.8298 0.8298 0.1786
0.8318 0.8318 0.6703
```

E_form (uncorrected) = -10.9 eV per formula unit

=====

First-principles (PBE) data for a relaxed structure of PrIn3I6, as listed in the Alexandria database.

POSCAR file:
```
PrIn3I6
1.0
8.2120 0.0000 0.0000
0.0000 9.2651 0.0000
-7.2484 0.0000 11.9983
Pr In I
2 6 12
Direct
0.0000 0.0000 0.0000
0.0000 0.5000 0.5000
0.3159 0.0998 0.7856
0.3159 0.4002 0.2856
0.5000 0.0000 0.5000
0.5000 0.5000 0.0000
0.6841 0.5998 0.7144
0.6841 0.9002 0.2144
0.0868 0.0637 0.2428
0.0868 0.4363 0.7428
0.2447 0.7139 0.0845
0.2447 0.7861 0.5845
0.3695 0.1686 0.0493
0.3695 0.3314 0.5493
0.6305 0.6686 0.4507
0.6305 0.8314 0.9507
0.7553 0.2139 0.4155
0.7553 0.2861 0.9155
0.9132 0.5637 0.2572
0.9132 0.9363 0.7572
```

E_form (uncorrected) = -8.4 eV per formula unit

=====

First-principles (PBE) data for a relaxed structure of Pr2InI8, as listed in the Alexandria database.

POSCAR file:
```
Pr2InI8
1.0
6.4489 -5.0586 0.0000
6.4489 5.0586 0.0000
-2.0120 0.0000 7.6975
Pr In I
2 1 8
Direct
0.1804 0.1804 0.4516
0.8196 0.8196 0.5484
0.5000 0.5000 0.0000
0.0645 0.0645 0.7597
0.1664 0.5506 0.6952
0.3181 0.3181 0.1787
0.4494 0.8336 0.3048
0.5506 0.1664 0.6952
0.6819 0.6819 0.8213
0.8336 0.4494 0.3048
0.9355 0.9355 0.2403
```

E_form (uncorrected) = -11.8 eV per formula unit

=====

First-principles (PBE) data for a relaxed structure of Pr3InI, as listed in the Alexandria database.

POSCAR file:
```
Pr3InI
1.0
9.2073 0.0000 0.0000
0.0000 5.8632 0.0000
-5.2038 0.0000 12.2741
Pr In I
12 4 4
Direct
0.0604 0.2008 0.3169
0.0604 0.2992 0.8169
0.1731 0.7155 0.5034
0.1731 0.7845 0.0034
0.4052 0.7460 0.8031
0.4052 0.7540 0.3031
0.5948 0.2460 0.6969
0.5948 0.2540 0.1969
0.8269 0.2155 0.9966
0.8269 0.2845 0.4966
0.9396 0.7008 0.1831
0.9396 0.7992 0.6831
0.2050 0.2142 0.6203
0.2050 0.2858 0.1203
0.7950 0.7142 0.8797
0.7950 0.7858 0.3797
0.4513 0.2471 0.9087
0.4513 0.2529 0.4087
0.5487 0.7471 0.5913
0.5487 0.7529 0.0913
```

E_form (uncorrected) = -2.4 eV per formula unit

=====

First-principles (PBE) data for a relaxed structure of PrIn5I8, as listed in the Alexandria database.

POSCAR file:
```
PrIn5I8
1.0
-5.1761 5.1761 5.2913
5.1761 -5.1761 5.2913
5.1761 5.1761 -5.2913
Pr In I
1 5 8
Direct
0.0000 0.0000 0.0000
0.2391 0.1394 0.6212
0.3821 0.7609 0.9003
0.5182 0.6179 0.3788
0.7500 0.2500 0.5000
0.8606 0.4818 0.0997
0.0026 0.7753 0.6342
0.0967 0.3367 0.8929
0.1412 0.3685 0.3658
0.2247 0.8588 0.2273
0.4438 0.2037 0.1071
0.6315 0.9974 0.7727
0.6633 0.5562 0.7600
0.7963 0.9033 0.2400
```

E_form (uncorrected) = -9.9 eV per formula unit

=====

First-principles (PBE) data for a relaxed structure of Pr6InI8, as listed in the Alexandria database.

POSCAR file:
```
Pr6InI8
1.0
3.8848 2.2429 11.7926
-3.8848 2.2429 11.7926
0.0000 -4.4858 11.7926
Pr In I
6 1 8
Direct
0.1319 0.4481 0.7647
0.2353 0.8681 0.5519
0.4481 0.7647 0.1319
0.5519 0.2353 0.8681
0.7647 0.1319 0.4481
0.8681 0.5519 0.2353
0.5000 0.5000 0.5000
0.0540 0.7299 0.3921
0.1667 0.1667 0.1667
0.2701 0.6079 0.9460
0.3921 0.0540 0.7299
0.6079 0.9460 0.2701
0.7299 0.3921 0.0540
0.8333 0.8333 0.8333
0.9460 0.2701 0.6079
```

E_form (uncorrected) = -16.4 eV per formula unit

=====

| no. | DOS(E_F) (states/eV/f.u.) |
| --- | --- |
| 1 | 7.7 |
| 2 | 11.9 |
| 3 | 5.9 |
| 4 | 0.0 |
| 5 | 3.6 |
| 6 | 4.1 |
| 7 | 0.0 |
| 8 | 7.6 |